Material: NaMn2Cr
Method: DFT, GGA-PBE
State: relaxed

Values from the calculation:
Its formation energy is 1.48 eV/atom. For the total energy, the calculation gives -46.76 eV per cell. The calculated density is 4.19 g cm⁻³. The calculation puts the energy above the lowest structure with this stoichiometry at 790.0 meV/atom. Its density of states at the Fermi level is 5.45 states/eV/f.u. The size of the total moment is 0.000 μB/f.u.

Lattice parameters (Å, degrees): 4.3524 4.3524 8.3312 74.86 74.86 90.00
Closest atoms and distances in Å follow each position.
Element x y z (fractional)
Cr 0.0000 0.0000 0.0000  4 Mn 2.22
Cr 0.7500 0.2500 0.5000  4 Mn 2.22
Mn 0.8747 0.1250 0.2500  2 Mn 2.18, 2 Cr 2.22
Mn 0.3750 0.1253 0.7500  2 Mn 2.18, 2 Cr 2.22
Mn 0.8750 0.1247 0.7500  2 Mn 2.18, 2 Cr 2.22
Mn 0.8753 0.6250 0.2500  2 Mn 2.18, 2 Cr 2.22
Na 0.2500 0.7500 0.5000  4 Cr 3.08, 8 Mn 3.11
Na 0.5000 0.5000 0.0000  4 Cr 3.08, 8 Mn 3.11